Here is crystalline Pd2PbBr at its relaxed geometry from the Alexandria database. Energies are from PBE.

Cell lengths 7.5195, 7.5195, 6.1654 Å; angles 90.00, 90.00, 90.00 degrees
Last column: nearest neighbours and their distance in Å.
Space group I-42d (No. 122)
Inequivalent atoms, fractional coordinates:
1 Pd 0.2455 0.2500 0.1250 x8  2 Br 2.75, 2 Pb 2.79
2 Pb 0.0000 0.0000 0.5000 x4  4 Pd 2.79, 2 Br 3.08
3 Br 0.0000 0.0000 0.0000 x4  4 Pd 2.75

The electronic total energy is -15.59 eV/f.u.

---

Here is crystalline Ca4TlPd at its relaxed geometry from the Alexandria database. Energies are from PBE.

Cell lengths 9.2857, 14.0049, 6.1086 Å; angles 90.00, 111.53, 90.00 degrees
Last column: nearest neighbours and their distance in Å.
Space group C2/c (No. 15)
Inequivalent atoms, fractional coordinates:
1 Ca 0.1155 0.1729 0.0655 x8  2 Pd 3.02-3.05, 1 Tl 3.31
2 Ca 0.2092 0.4276 0.3437 x8  2 Pd 3.09-3.13, 1 Tl 3.37
3 Tl 0.0000 0.3698 0.7500 x4  8 Ca 3.31-3.52
4 Pd 0.0000 0.0010 0.2500 x4  8 Ca 3.02-3.13, 2 Pd 3.05

Its formation energy is -41.27 kJ/mol of atoms.

---

Here is crystalline Ta2AlC at its relaxed geometry from the Alexandria database. Energies are from PBE.

Cell lengths 3.0843, 3.0843, 15.7770 Å; angles 90.00, 90.00, 120.00 degrees
Last column: nearest neighbours and their distance in Å.
Space group P6_3/mmc (No. 194)
Inequivalent atoms, fractional coordinates:
1 Ta 0.3333 0.6667 0.0792 x4  3 C 2.18
2 Al 0.3333 0.6667 0.2500 x2  2 Ta 2.69
3 C 0.0000 0.0000 0.0000 x2  6 Ta 2.18

Its formation energy is -3.13 kJ/mol of atoms.

---

Here is crystalline NbCu at its relaxed geometry from the Alexandria database. Energies are from PBE.

Cell lengths 7.9554, 7.9554, 7.9554 Å; angles 90.00, 90.00, 90.00 degrees
Last column: nearest neighbours and their distance in Å.
Space group I-43m (No. 217)
Inequivalent atoms, fractional coordinates:
1 Nb 0.1200 0.1200 0.8800 x8  4 Cu 2.58-2.62, 3 Nb 2.70
2 Cu 0.1929 0.1929 0.1929 x8  4 Nb 2.58-2.62

Its formation energy is 144.21 kJ/mol of atoms.